No. 1
First-principles (PBE) data for an optimized crystal structure of Ho4Tl2CdAg, as listed in Alexandria via LeMat-Bulk.

## Properties
The value obtained for the magnetic moment is 0.33 μB/cell. Its crystal system is trigonal. The value obtained for the energy of formation is -0.33 eV per atom. For the calculated density, the calculation gives 10.33 g cm⁻³.

Cell: 9.1320 9.1320 9.1320 Å, 33.56 33.56 33.56°
With the nearest neighbours (Å) after each atom.
Element x y z (fractional)
Ho (0.1225, 0.1225, 0.1225)  1 Ag 3.16, 4 Tl 3.20-3.26, 3 Cd 3.25
Ho (0.3728, 0.3728, 0.3728)  4 Tl 3.21-3.26, 3 Ag 3.21, 1 Cd 3.28
Ho (0.6272, 0.6272, 0.6272)  4 Tl 3.21-3.26, 3 Ag 3.21, 1 Cd 3.28
Ho (0.8775, 0.8775, 0.8775)  1 Ag 3.16, 4 Tl 3.20-3.26, 3 Cd 3.25
Tl (0.2487, 0.2487, 0.2487)  8 Ho 3.20-3.26
Tl (0.7513, 0.7513, 0.7513)  8 Ho 3.20-3.26
Cd (0.5000, 0.5000, 0.5000)  8 Ho 3.25-3.28
Ag (0.0000, 0.0000, 0.0000)  8 Ho 3.16-3.21

***

No. 2
First-principles (PBE) data for an optimized crystal structure of HoTmCdAg, as listed in Alexandria via LeMat-Bulk.

## Properties
The value obtained for the magnetic moment is 0.00 μB/cell. Its crystal system is cubic. The energy relative to the lowest polymorph listed for this composition comes out at 0.011 eV per atom. The value obtained for the energy of formation is -0.31 eV per atom. For the calculated density, the calculation gives 9.39 g cm⁻³.

Cell: 5.1745 5.1745 5.1745 Å, 60.00 60.00 60.00°
With the nearest neighbours (Å) after each atom.
Element x y z (fractional)
Ho (0.0000, 0.0000, 0.0000)  4 Cd 3.17, 4 Ag 3.17
Tm (0.5000, 0.5000, 0.5000)  4 Cd 3.17, 4 Ag 3.17
Cd (0.2500, 0.2500, 0.2500)  4 Ho 3.17, 4 Tm 3.17
Ag (0.7500, 0.7500, 0.7500)  4 Ho 3.17, 4 Tm 3.17

***

No. 3
First-principles (PBE) data for an optimized crystal structure of HoTmCdAg, as listed in Alexandria via LeMat-Bulk.

## Properties
The value obtained for the magnetic moment is 0.00 μB/cell. Its crystal system is tetragonal. The energy relative to the lowest polymorph listed for this composition comes out at 0.000 eV per atom. The value obtained for the energy of formation is -0.32 eV per atom. For the calculated density, the calculation gives 9.41 g cm⁻³.

Cell: 3.6625 3.6625 7.2904 Å, 90.00 90.00 90.00°
With the nearest neighbours (Å) after each atom.
Element x y z (fractional)
Ho (0.0000, 0.0000, 0.0000)  4 Ag 3.15, 4 Cd 3.22, 1 Tm 3.52
Tm (0.0000, 0.0000, 0.5171)  4 Ag 3.11, 4 Cd 3.19
Cd (0.5000, 0.5000, 0.2614)  4 Tm 3.19, 4 Ho 3.22
Ag (0.5000, 0.5000, 0.7536)  4 Tm 3.11, 4 Ho 3.15

***

No. 4
First-principles (PBE) data for an optimized crystal structure of YHoCdAg, as listed in Alexandria via LeMat-Bulk.

## Properties
The value obtained for the magnetic moment is 0.00 μB/cell. Its crystal system is cubic. The energy relative to the lowest polymorph listed for this composition comes out at 0.012 eV per atom. The value obtained for the energy of formation is -0.32 eV per atom. For the calculated density, the calculation gives 7.85 g cm⁻³.

Cell: 5.2141 5.2141 5.2141 Å, 60.00 60.00 60.00°
With the nearest neighbours (Å) after each atom.
Element x y z (fractional)
Y (0.0000, 0.0000, 0.0000)  4 Ag 3.19, 4 Cd 3.19
Ho (0.5000, 0.5000, 0.5000)  4 Ag 3.19, 4 Cd 3.19
Cd (0.2500, 0.2500, 0.2500)  4 Ho 3.19, 4 Y 3.19
Ag (0.7500, 0.7500, 0.7500)  4 Ho 3.19, 4 Y 3.19

***

No. 5
First-principles (PBE) data for an optimized crystal structure of YHoCdAg, as listed in Alexandria via LeMat-Bulk.

## Properties
The value obtained for the magnetic moment is 0.00 μB/cell. Its crystal system is tetragonal. The energy relative to the lowest polymorph listed for this composition comes out at 0.000 eV per atom. The value obtained for the energy of formation is -0.33 eV per atom. For the calculated density, the calculation gives 7.87 g cm⁻³.

Cell: 3.6855 3.6855 7.3672 Å, 90.00 90.00 90.00°
With the nearest neighbours (Å) after each atom.
Element x y z (fractional)
Y (0.0000, 0.0000, 0.0000)  4 Ag 3.18, 4 Cd 3.24, 1 Ho 3.56
Ho (0.0000, 0.0000, 0.5162)  4 Ag 3.13, 4 Cd 3.21
Cd (0.5000, 0.5000, 0.2609)  4 Ho 3.21, 4 Y 3.24
Ag (0.5000, 0.5000, 0.7520)  4 Ho 3.13, 4 Y 3.18

***

No. 6
First-principles (PBE) data for an optimized crystal structure of HoZnCdAg, as listed in Alexandria via LeMat-Bulk.

## Properties
The value obtained for the magnetic moment is 0.00 μB/cell. Its crystal system is cubic. The value obtained for the energy of formation is -0.30 eV per atom. For the calculated density, the calculation gives 9.19 g cm⁻³.

Cell: 4.8649 4.8649 4.8649 Å, 60.00 60.00 60.00°
With the nearest neighbours (Å) after each atom.
Element x y z (fractional)
Ho (0.0000, 0.0000, 0.0000)  4 Zn 2.98, 4 Ag 2.98
Zn (0.2500, 0.2500, 0.2500)  4 Cd 2.98, 4 Ho 2.98
Cd (0.5000, 0.5000, 0.5000)  4 Zn 2.98, 4 Ag 2.98
Ag (0.7500, 0.7500, 0.7500)  4 Cd 2.98, 4 Ho 2.98

***

No. 7
First-principles (PBE) data for an optimized crystal structure of CdAgI3, as listed in Alexandria via LeMat-Bulk.

## Properties
The uncorrected formation energy comes out at 0.0351 eV per atom. The value obtained for the magnetic moment is 0.00 μB/cell. Its crystal system is cubic. The energy relative to the lowest polymorph listed for this composition comes out at 0.469 eV per atom. For the calculated density, the calculation gives 4.88 g cm⁻³.

Cell: 5.8898 5.8898 5.8898 Å, 90.00 90.00 90.00°
With the nearest neighbours (Å) after each atom.
Element x y z (fractional)
Cd (0.0000, 0.0000, 0.0000)  6 I 2.94
Ag (0.5000, 0.5000, 0.5000)  12 I 4.16
I (0.0000, 0.0000, 0.5000)  2 Cd 2.94
I (0.0000, 0.5000, 0.0000)  2 Cd 2.94
I (0.5000, 0.0000, 0.0000)  2 Cd 2.94

***

No. 8
First-principles (PBE) data for an optimized crystal structure of CdAgI2, as listed in Alexandria via LeMat-Bulk.

## Properties
The uncorrected formation energy comes out at -0.1412 eV per atom. The value obtained for the magnetic moment is 0.00 μB/cell. Its crystal system is tetragonal. The energy relative to the lowest polymorph listed for this composition comes out at 0.000 eV per atom. For the calculated density, the calculation gives 4.70 g cm⁻³.

Cell: 8.4949 8.4949 8.4949 Å, 131.71 131.71 70.69°
With the nearest neighbours (Å) after each atom.
Element x y z (fractional)
Cd (0.0000, 0.0000, 0.0000)  4 I 3.13
Cd (0.7500, 0.2500, 0.5000)  4 I 3.13
Ag (0.2500, 0.7500, 0.5000)  4 I 2.89
Ag (0.5000, 0.5000, 0.0000)  4 I 2.89
I (0.1553, 0.6250, 0.0303)  2 Ag 2.89, 2 Cd 3.13
I (0.3750, 0.4053, 0.5303)  2 Ag 2.89, 2 Cd 3.13
I (0.5947, 0.1250, 0.9697)  2 Ag 2.89, 2 Cd 3.13
I (0.8750, 0.8447, 0.4697)  2 Ag 2.89, 2 Cd 3.13

***

No. 9
First-principles (PBE) data for an optimized crystal structure of Cd2AgI6, as listed in Alexandria via LeMat-Bulk.

## Properties
The uncorrected formation energy comes out at -0.3775 eV per atom. The value obtained for the magnetic moment is 0.00 μB/cell. Its crystal system is monoclinic. For the calculated density, the calculation gives 4.60 g cm⁻³.

Cell: 10.6430 10.6430 7.5816 Å, 106.10 106.10 80.53°
With the nearest neighbours (Å) after each atom.
Element x y z (fractional)
Cd (0.1077, 0.2936, 0.3412)  4 I 2.83-2.87
Cd (0.2936, 0.1077, 0.8412)  4 I 2.83-2.87
Cd (0.7064, 0.8923, 0.1588)  4 I 2.83-2.87
Cd (0.8923, 0.7064, 0.6588)  4 I 2.83-2.87
Ag (0.3156, 0.6844, 0.7500)  4 I 2.77-2.83
Ag (0.6844, 0.3156, 0.2500)  4 I 2.77-2.83
I (0.0510, 0.2194, 0.6395)  2 Cd 2.83-2.87
I (0.1297, 0.6278, 0.9025)  1 Ag 2.77, 1 Cd 2.84
I (0.2194, 0.0510, 0.1395)  2 Cd 2.83-2.87
I (0.2874, 0.4809, 0.4146)  1 Ag 2.83, 1 Cd 2.83
I (0.3722, 0.8703, 0.5975)  1 Ag 2.77, 1 Cd 2.84
I (0.4809, 0.2874, 0.9146)  1 Ag 2.83, 1 Cd 2.83
I (0.5191, 0.7126, 0.0854)  1 Ag 2.83, 1 Cd 2.83
I (0.6278, 0.1297, 0.4025)  1 Ag 2.77, 1 Cd 2.84
I (0.7126, 0.5191, 0.5854)  1 Ag 2.83, 1 Cd 2.83
I (0.7806, 0.9490, 0.8605)  2 Cd 2.83-2.87
I (0.8703, 0.3722, 0.0975)  1 Ag 2.77, 1 Cd 2.84
I (0.9490, 0.7806, 0.3605)  2 Cd 2.83-2.87

***

No. 10
First-principles (PBE) data for an optimized crystal structure of Cd2AgI, as listed in Alexandria via LeMat-Bulk.

## Properties
The uncorrected formation energy comes out at 0.0589 eV per atom. The value obtained for the magnetic moment is 0.00 μB/cell. Its crystal system is tetragonal. The energy relative to the lowest polymorph listed for this composition comes out at 0.000 eV per atom. For the calculated density, the calculation gives 6.32 g cm⁻³.

Cell: 6.7969 6.7969 6.7969 Å, 108.20 108.20 112.04°
With the nearest neighbours (Å) after each atom.
Element x y z (fractional)
Cd (0.0899, 0.1250, 0.4649)  2 Ag 2.79
Cd (0.3750, 0.9101, 0.0351)  2 Ag 2.79
Cd (0.6601, 0.6250, 0.5351)  2 Ag 2.79
Cd (0.8750, 0.3399, 0.9649)  2 Ag 2.79
Ag (0.0000, 0.0000, 0.0000)  4 Cd 2.79
Ag (0.7500, 0.2500, 0.5000)  4 Cd 2.79
I (0.2500, 0.7500, 0.5000)  4 Cd 3.17
I (0.5000, 0.5000, 0.0000)  4 Cd 3.17

***

No. 11
First-principles (PBE) data for an optimized crystal structure of CdAg3I, as listed in Alexandria via LeMat-Bulk.

## Properties
The uncorrected formation energy comes out at 0.5305 eV per atom. The value obtained for the magnetic moment is 0.00 μB/cell. Its crystal system is cubic. The energy relative to the lowest polymorph listed for this composition comes out at 0.000 eV per atom. For the calculated density, the calculation gives 6.30 g cm⁻³.

Cell: 5.2952 5.2952 5.2952 Å, 90.00 90.00 90.00°
With the nearest neighbours (Å) after each atom.
Element x y z (fractional)
Cd (0.0000, 0.0000, 0.0000)  6 Ag 2.65
Ag (0.0000, 0.0000, 0.5000)  2 Cd 2.65
Ag (0.0000, 0.5000, 0.0000)  2 Cd 2.65
Ag (0.5000, 0.0000, 0.0000)  2 Cd 2.65
I (0.5000, 0.5000, 0.5000)  12 Ag 3.74

***

> Number 1 is which compound?

Ho4Tl2CdAg

***

> Look up the calculated density of the eleventh one.

6.30 g cm⁻³

***

> What is the magnetic moment in the fourth record?

0.00 μB/cell